one.
First-principles (PBE) data for a geometry-optimized SrAlZnAu structure, as listed in the Open Quantum Materials Database.

a = 7.0451 Å, b = 7.0451 Å, c = 7.0451 Å
α = 90.00°, β = 90.00°, γ = 90.00°
Space group F-43m (No. 216)
Asymmetric unit:
Sr 0.0000 0.0000 0.0000 [4 per cell]
Al 0.0000 0.0000 0.5000 [4 per cell]
Zn 0.2500 0.2500 0.2500 [4 per cell]
Au 0.2500 0.2500 0.7500 [4 per cell]

=====

two.
First-principles (PBE) data for a geometry-optimized SrAlZnAu structure, as listed in the Open Quantum Materials Database.

a = 7.0755 Å, b = 7.0755 Å, c = 7.0755 Å
α = 90.00°, β = 90.00°, γ = 90.00°
Space group F-43m (No. 216)
Asymmetric unit:
Sr 0.0000 0.0000 0.0000 [4 per cell]
Al 0.2500 0.2500 0.2500 [4 per cell]
Zn 0.0000 0.0000 0.5000 [4 per cell]
Au 0.2500 0.2500 0.7500 [4 per cell]

=====

Question: of the structures shown, which is the least stable? Reply: two.